[1]
A plane-wave DFT calculation with PBE-GGA was carried out for crystalline K3UPb2Se6 at its relaxed geometry.

Properties
Total moment: 1.001 μB/f.u.
Symmetry: C2/m, No. 12
Electronic total energy: -55.7 eV/cell

Unit cell a=7.6127 b=7.6127 c=7.9774 alpha=99.22 beta=99.22 gamma=119.95
Fractional coordinates of all 12 atoms:
1 K 0.0000 0.0000 0.0000
2 K 0.3258 0.6742 0.0000
3 K 0.6742 0.3258 0.0000
4 U 0.5000 0.5000 0.5000
5 Pb 0.1655 0.8345 0.5000
6 Pb 0.8345 0.1655 0.5000
7 Se 0.1273 0.4305 0.2912
8 Se 0.2687 0.2687 0.7094
9 Se 0.4305 0.1273 0.2912
10 Se 0.5695 0.8727 0.7088
11 Se 0.7313 0.7313 0.2906
12 Se 0.8727 0.5695 0.7088

=====

[2]
A plane-wave DFT calculation with PBE-GGA was carried out for crystalline K2UPb2Se6 at its relaxed geometry.

Properties
Total moment: 0.000 μB/f.u.
Symmetry: C2/m, No. 12
Electronic total energy: -52.5 eV/cell

Unit cell a=7.4367 b=7.4367 c=8.1161 alpha=99.55 beta=99.55 gamma=118.57
Fractional coordinates of all 11 atoms:
1 K 0.1769 0.8231 0.0000
2 K 0.8231 0.1769 0.0000
3 U 0.0000 0.0000 0.5000
4 Pb 0.3313 0.6687 0.5000
5 Pb 0.6687 0.3313 0.5000
6 Se 0.0719 0.3718 0.7051
7 Se 0.2198 0.2198 0.2972
8 Se 0.3718 0.0719 0.7051
9 Se 0.6282 0.9281 0.2949
10 Se 0.7802 0.7802 0.7028
11 Se 0.9281 0.6282 0.2949

=====

[3]
A plane-wave DFT calculation with PBE-GGA was carried out for crystalline K2UPbSe6 at its relaxed geometry.

Properties
Total moment: 0.000 μB/f.u.
Symmetry: P2_1/c, No. 14
Electronic total energy: -91.7 eV/cell

Unit cell a=7.6054 b=7.8384 c=13.3491 alpha=90.00 beta=124.56 gamma=90.00
Fractional coordinates of all 20 atoms:
1 K 0.2313 0.0614 0.2498
2 K 0.2313 0.4386 0.7498
3 K 0.7687 0.5614 0.2502
4 K 0.7687 0.9386 0.7502
5 U 0.5000 0.0000 0.0000
6 U 0.5000 0.5000 0.5000
7 Pb 0.0000 0.0000 0.5000
8 Pb 0.0000 0.5000 0.0000
9 Se 0.1751 0.1881 0.9631
10 Se 0.1751 0.3119 0.4631
11 Se 0.2718 0.7168 0.9583
12 Se 0.2718 0.7832 0.4583
13 Se 0.3413 0.0082 0.7632
14 Se 0.3413 0.4918 0.2632
15 Se 0.6587 0.5082 0.7368
16 Se 0.6587 0.9918 0.2368
17 Se 0.7282 0.2168 0.5417
18 Se 0.7282 0.2832 0.0417
19 Se 0.8249 0.6881 0.5369
20 Se 0.8249 0.8119 0.0369

=====

[4]
A plane-wave DFT calculation with PBE-GGA was carried out for crystalline K3U3PbSe8 at its relaxed geometry.

Properties
Total moment: 7.000 μB/f.u.
Symmetry: R-3m, No. 166
Electronic total energy: -86.2 eV/cell

Unit cell a=9.1094 b=9.1094 c=9.1094 alpha=55.91 beta=55.91 gamma=55.91
Fractional coordinates of all 15 atoms:
1 K 0.0000 0.5000 0.5000
2 K 0.5000 0.0000 0.5000
3 K 0.5000 0.5000 0.0000
4 U 0.0000 0.0000 0.5000
5 U 0.0000 0.5000 0.0000
6 U 0.5000 0.0000 0.0000
7 Pb 0.5000 0.5000 0.5000
8 Se 0.2131 0.7463 0.7463
9 Se 0.2352 0.2352 0.2352
10 Se 0.2537 0.2537 0.7869
11 Se 0.2537 0.7869 0.2537
12 Se 0.7463 0.2131 0.7463
13 Se 0.7463 0.7463 0.2131
14 Se 0.7648 0.7648 0.7648
15 Se 0.7869 0.2537 0.2537

=====

[5]
A plane-wave DFT calculation with PBE-GGA was carried out for crystalline K2UPb3Se6 at its relaxed geometry.

Properties
Total moment: 2.000 μB/f.u.
Symmetry: C2/m, No. 12
Electronic total energy: -56.4 eV/cell

Unit cell a=7.8006 b=7.8006 c=7.5739 alpha=99.77 beta=99.77 gamma=120.27
Fractional coordinates of all 12 atoms:
1 K 0.1686 0.8314 0.0000
2 K 0.8314 0.1686 0.0000
3 U 0.5000 0.5000 0.0000
4 Pb 0.0000 0.0000 0.5000
5 Pb 0.3426 0.6574 0.5000
6 Pb 0.6574 0.3426 0.5000
7 Se 0.1279 0.4179 0.7588
8 Se 0.2822 0.2822 0.2526
9 Se 0.4179 0.1279 0.7588
10 Se 0.5821 0.8721 0.2412
11 Se 0.7178 0.7178 0.7474
12 Se 0.8721 0.5821 0.2412

=====

[6]
A plane-wave DFT calculation with PBE-GGA was carried out for crystalline KUPb2Se4 at its relaxed geometry.

Properties
Total moment: 3.014 μB/f.u.
Symmetry: I-4m2, No. 119
Electronic total energy: -40.1 eV/cell

Unit cell a=7.6212 b=7.6212 c=7.6212 alpha=132.16 beta=132.16 gamma=69.98
Fractional coordinates of all 8 atoms:
1 K 0.0000 0.0000 0.0000
2 U 0.7500 0.2500 0.5000
3 Pb 0.2500 0.7500 0.5000
4 Pb 0.5000 0.5000 0.0000
5 Se 0.2562 0.2562 0.0000
6 Se 0.5189 0.0189 0.5000
7 Se 0.7438 0.7438 0.0000
8 Se 0.9811 0.4811 0.5000

=====

[7]
A plane-wave DFT calculation with PBE-GGA was carried out for crystalline KUPb2Se5 at its relaxed geometry.

Properties
Total moment: 0.999 μB/f.u.
Symmetry: Immm, No. 71
Electronic total energy: -44.4 eV/cell

Unit cell a=8.7269 b=8.7269 c=8.7269 alpha=144.34 beta=128.21 gamma=64.47
Fractional coordinates of all 9 atoms:
1 K 0.0000 0.0000 0.0000
2 U 0.5000 0.5000 0.0000
3 Pb 0.2910 0.7910 0.5000
4 Pb 0.7090 0.2090 0.5000
5 Se 0.1202 0.3637 0.7566
6 Se 0.3929 0.6363 0.7566
7 Se 0.5000 0.0000 0.5000
8 Se 0.6071 0.3637 0.2434
9 Se 0.8798 0.6363 0.2434

=====

[8]
A plane-wave DFT calculation with PBE-GGA was carried out for crystalline K2UPbSe5 at its relaxed geometry.

Properties
Total moment: 0.810 μB/f.u.
Symmetry: Cmc2_1, No. 36
Electronic total energy: -85.8 eV/cell

Unit cell a=9.4856 b=9.4856 c=14.6296 alpha=90.00 beta=90.00 gamma=153.58
Fractional coordinates of all 18 atoms:
1 K 0.0989 0.9011 0.5000
2 K 0.1398 0.8602 0.1337
3 K 0.8602 0.1398 0.6337
4 K 0.9011 0.0989 0.0000
5 U 0.2151 0.7849 0.8518
6 U 0.7849 0.2151 0.3518
7 Pb 0.4708 0.5292 0.2704
8 Pb 0.5292 0.4708 0.7704
9 Se 0.0703 0.9297 0.8971
10 Se 0.2769 0.7231 0.4706
11 Se 0.3090 0.6910 0.2312
12 Se 0.3553 0.6447 0.8224
13 Se 0.4900 0.5100 0.5916
14 Se 0.5100 0.4900 0.0916
15 Se 0.6447 0.3553 0.3224
16 Se 0.6910 0.3090 0.7312
17 Se 0.7231 0.2769 0.9706
18 Se 0.9297 0.0703 0.3971

=====

[9]
A plane-wave DFT calculation with PBE-GGA was carried out for crystalline KVPbSe4 at its relaxed geometry.

Properties
Total moment: 0.000 μB/f.u.
Symmetry: P2_1/m, No. 11
Electronic total energy: -66.0 eV/cell

Unit cell a=6.9348 b=7.0947 c=9.5322 alpha=90.00 beta=105.32 gamma=90.00
Fractional coordinates of all 14 atoms:
1 K 0.2161 0.2500 0.0325
2 K 0.7839 0.7500 0.9675
3 V 0.1980 0.7500 0.7721
4 V 0.8020 0.2500 0.2279
5 Pb 0.2171 0.2500 0.5309
6 Pb 0.7829 0.7500 0.4691
7 Se 0.0169 0.5077 0.2976
8 Se 0.0169 0.9923 0.2976
9 Se 0.3213 0.7500 0.0151
10 Se 0.4281 0.7500 0.6429
11 Se 0.5719 0.2500 0.3571
12 Se 0.6787 0.2500 0.9849
13 Se 0.9831 0.0077 0.7024
14 Se 0.9831 0.4923 0.7024

=====

[10]
A plane-wave DFT calculation with PBE-GGA was carried out for crystalline KPbW2Se at its relaxed geometry.

Properties
Total moment: 5.921 μB/f.u.
Symmetry: P4/mmm, No. 123
Electronic total energy: -19.2 eV/cell

Unit cell a=4.9539 b=4.9539 c=5.4961 alpha=90.00 beta=90.00 gamma=90.00
Fractional coordinates of all 5 atoms:
1 K 0.0000 0.0000 0.0000
2 Pb 0.5000 0.5000 0.5000
3 W 0.0000 0.5000 0.0000
4 W 0.5000 0.0000 0.0000
5 Se 0.0000 0.0000 0.5000

=====

[11]
A plane-wave DFT calculation with PBE-GGA was carried out for crystalline KZnPbSe2 at its relaxed geometry.

Properties
Total moment: 0.000 μB/f.u.
Symmetry: P4/mmm, No. 123
Electronic total energy: -12.4 eV/cell

Unit cell a=5.5821 b=5.5821 c=6.7368 alpha=90.00 beta=90.00 gamma=90.00
Fractional coordinates of all 5 atoms:
1 K 0.0000 0.0000 0.0000
2 Zn 0.5000 0.5000 0.0000
3 Pb 0.0000 0.0000 0.5000
4 Se 0.0000 0.5000 0.5000
5 Se 0.5000 0.0000 0.5000

=====

[12]
A plane-wave DFT calculation with PBE-GGA was carried out for crystalline K2Zn2PbSe4 at its relaxed geometry.

Properties
Total moment: 0.000 μB/f.u.
Symmetry: C2/m, No. 12
Electronic total energy: -30.0 eV/cell

Unit cell a=8.4114 b=8.4114 c=8.0832 alpha=110.30 beta=110.30 gamma=28.97
Fractional coordinates of all 9 atoms:
1 K 0.1245 0.1245 0.0416
2 K 0.8755 0.8755 0.9584
3 Zn 0.3274 0.3274 0.5237
4 Zn 0.6726 0.6726 0.4763
5 Pb 0.0000 0.0000 0.5000
6 Se 0.2098 0.2098 0.6733
7 Se 0.4725 0.4725 0.7520
8 Se 0.5275 0.5275 0.2480
9 Se 0.7902 0.7902 0.3267